Record 1
# KMn2VI8

A geometry-optimized KMn2VI8 structure (GGA-PBE, Alexandria).

## Properties
**Crystal system**: trigonal
**Raw formation energy**: -0.49 eV per atom

```
data_KMn2VI8
_cell_length_a 12.045
_cell_length_b 12.045
_cell_length_c 12.045
_cell_angle_alpha 34.42
_cell_angle_beta 34.42
_cell_angle_gamma 34.42
_symmetry_space_group_name_H-M 'P 1'
_symmetry_Int_Tables_number 1
loop_
_symmetry_equiv_pos_as_xyz
'x,y,z'
loop_
_atom_site_label
_atom_site_type_symbol
_atom_site_fract_x
_atom_site_fract_y
_atom_site_fract_z
K1 K 0.000 0.000 0.000
Mn1 Mn 0.242 0.242 0.242
Mn2 Mn 0.758 0.758 0.758
V1 V 0.500 0.500 0.500
I1 I 0.152 0.422 0.761
I2 I 0.239 0.578 0.848
I3 I 0.319 0.319 0.319
I4 I 0.422 0.761 0.152
I5 I 0.578 0.848 0.239
I6 I 0.681 0.681 0.681
I7 I 0.761 0.152 0.422
I8 I 0.848 0.239 0.578
```

Record 2
# KMnVI6

A geometry-optimized KMnVI6 structure (GGA-PBE, Alexandria).

## Properties
**Crystal system**: trigonal
**Raw formation energy**: -0.65 eV per atom

```
data_KMnVI6
_cell_length_a 7.369
_cell_length_b 7.369
_cell_length_c 15.722
_cell_angle_alpha 90.00
_cell_angle_beta 90.00
_cell_angle_gamma 120.00
_symmetry_space_group_name_H-M 'P 1'
_symmetry_Int_Tables_number 1
loop_
_symmetry_equiv_pos_as_xyz
'x,y,z'
loop_
_atom_site_label
_atom_site_type_symbol
_atom_site_fract_x
_atom_site_fract_y
_atom_site_fract_z
K1 K 0.000 0.000 0.000
K2 K 0.000 0.000 0.500
Mn1 Mn 0.333 0.667 0.250
Mn2 Mn 0.667 0.333 0.750
V1 V 0.333 0.667 0.750
V2 V 0.667 0.333 0.250
I1 I 0.010 0.375 0.648
I2 I 0.010 0.635 0.852
I3 I 0.365 0.375 0.852
I4 I 0.365 0.990 0.648
I5 I 0.375 0.010 0.148
I6 I 0.375 0.365 0.352
I7 I 0.625 0.635 0.648
I8 I 0.625 0.990 0.852
I9 I 0.635 0.010 0.352
I10 I 0.635 0.625 0.148
I11 I 0.990 0.365 0.148
I12 I 0.990 0.625 0.352
```

Record 3
# KYMnI6

A geometry-optimized KYMnI6 structure (GGA-PBE, Alexandria).

## Properties
**Crystal system**: trigonal
**Raw formation energy**: -1.09 eV per atom

```
data_KYMnI6
_cell_length_a 7.704
_cell_length_b 7.704
_cell_length_c 15.727
_cell_angle_alpha 90.00
_cell_angle_beta 90.00
_cell_angle_gamma 120.00
_symmetry_space_group_name_H-M 'P 1'
_symmetry_Int_Tables_number 1
loop_
_symmetry_equiv_pos_as_xyz
'x,y,z'
loop_
_atom_site_label
_atom_site_type_symbol
_atom_site_fract_x
_atom_site_fract_y
_atom_site_fract_z
K1 K 0.000 0.000 0.000
K2 K 0.000 0.000 0.500
Y1 Y 0.333 0.667 0.250
Y2 Y 0.667 0.333 0.750
Mn1 Mn 0.333 0.667 0.750
Mn2 Mn 0.667 0.333 0.250
I1 I 0.012 0.375 0.641
I2 I 0.012 0.637 0.859
I3 I 0.363 0.375 0.859
I4 I 0.363 0.988 0.641
I5 I 0.375 0.012 0.141
I6 I 0.375 0.363 0.359
I7 I 0.625 0.637 0.641
I8 I 0.625 0.988 0.859
I9 I 0.637 0.012 0.359
I10 I 0.637 0.625 0.141
I11 I 0.988 0.363 0.141
I12 I 0.988 0.625 0.359
```

Record 4
# KMn2ZnI8

A geometry-optimized KMn2ZnI8 structure (GGA-PBE, Alexandria).

## Properties
**Crystal system**: triclinic
**Raw formation energy**: -0.52 eV per atom

```
data_KMn2ZnI8
_cell_length_a 7.149
_cell_length_b 7.249
_cell_length_c 10.492
_cell_angle_alpha 78.02
_cell_angle_beta 78.57
_cell_angle_gamma 79.61
_symmetry_space_group_name_H-M 'P 1'
_symmetry_Int_Tables_number 1
loop_
_symmetry_equiv_pos_as_xyz
'x,y,z'
loop_
_atom_site_label
_atom_site_type_symbol
_atom_site_fract_x
_atom_site_fract_y
_atom_site_fract_z
K1 K 0.000 0.000 0.000
Mn1 Mn 0.448 0.446 0.683
Mn2 Mn 0.552 0.554 0.317
Zn1 Zn 0.000 0.000 0.500
I1 I 0.151 0.756 0.706
I2 I 0.247 0.859 0.295
I3 I 0.309 0.322 0.491
I4 I 0.332 0.327 0.938
I5 I 0.668 0.673 0.062
I6 I 0.691 0.678 0.509
I7 I 0.753 0.141 0.705
I8 I 0.849 0.244 0.294
```

> Number 2 is which compound?

KMnVI6